Compound: LaCe2Hg4
Source: Alexandria
Functional: PBE
Structure: optimized geometry

Output
V   214.7 Å³ per cell

a b c (Å): 5.508 6.641 6.641
angles (deg): 117.90 90.00 90.00
Each line ends with the local moment (μB).
Fractional coordinates of all 7 atoms:
Hg (0.000, 0.760, 0.760)  0.01
Hg (0.000, 0.240, 0.240)  0.01
Hg (0.500, 0.000, 0.500)  0.01
Hg (0.500, 0.500, 0.000)  0.01
Ce (0.000, 0.760, 0.240)  0.95
Ce (0.000, 0.240, 0.760)  0.95
La (0.500, 0.500, 0.500)  0.03

***

Compound: La3CeHg2
Source: Alexandria
Functional: PBE
Structure: optimized geometry

Output
ΔE to the lowest computed polymorph   0 meV/atom
V   182.3 Å³ per cell

a b c (Å): 3.756 3.756 12.918
angles (deg): 90.00 90.00 90.00
Each line ends with the local moment (μB).
Fractional coordinates of all 6 atoms:
La (0.000, 0.000, 0.000)  -0.09
La (0.000, 0.000, 0.677)  0.00
La (0.000, 0.000, 0.323)  0.00
Ce (0.500, 0.500, 0.500)  0.04
Hg (0.500, 0.500, 0.837)  0.00
Hg (0.500, 0.500, 0.163)  0.00

***

Compound: La2CeHg4
Source: Alexandria
Functional: PBE
Structure: optimized geometry

Output
ΔE to the lowest computed polymorph   0 meV/atom
V   216.2 Å³ per cell

a b c (Å): 5.552 5.552 8.039
angles (deg): 110.20 110.20 90.00
Each line ends with the local moment (μB).
Fractional coordinates of all 7 atoms:
Hg (0.388, 0.888, 0.777)  0.01
Hg (0.888, 0.388, 0.777)  0.01
Hg (0.612, 0.112, 0.223)  0.01
Hg (0.112, 0.612, 0.223)  0.01
Ce (0.000, 0.000, 0.000)  0.84
La (0.725, 0.725, 0.450)  0.00
La (0.275, 0.275, 0.550)  0.00

***

Compound: LaCe5Hg6
Source: Alexandria
Functional: PBE
Structure: optimized geometry

Output
V   340.2 Å³ per cell

a b c (Å): 5.391 7.802 9.354
angles (deg): 65.35 73.75 90.00
Each line ends with the local moment (μB).
Fractional coordinates of all 12 atoms:
Hg (0.834, 0.581, 0.336)  0.02
Hg (0.834, 0.083, 0.336)  0.02
Hg (0.500, 0.747, 0.000)  0.02
Hg (0.500, 0.253, 0.000)  0.02
Hg (0.166, 0.917, 0.664)  0.02
Hg (0.166, 0.419, 0.664)  0.02
Ce (0.666, 0.168, 0.664)  1.03
Ce (0.335, 0.334, 0.332)  1.03
Ce (0.000, 0.500, 0.000)  1.03
Ce (0.665, 0.666, 0.668)  1.03
Ce (0.334, 0.832, 0.336)  1.03
La (0.000, 0.000, 0.000)  0.18

***

Going through the records in order, we get calculated total energy values of -2.83 -3.86 -2.76 -3.35 eV/atom.
Going through the records in order, we get DFT formation energy values of -0.255 -0.306 -0.332 -0.319 eV per atom.